Crystalline Pu4GaGe at its relaxed geometry, computed with PBE-GGA.

The formation energy comes out at 0.087 eV per atom. The polymorph energy (0 for the lowest one) is 394 meV/atom. As for the density of states at the Fermi level: 11.80 states/eV/cell. For the total magnetization, the calculation gives 8.32 μB per cell.

CIF file:
```
data_Pu4GaGe
_chemical_formula_sum 'Pu4 Ga1 Ge1'
_symmetry_space_group_name_H-M 'P 1'
_symmetry_Int_Tables_number 1
_symmetry_space_group_name_Hall 'P 1'
_cell_length_a 3.579
_cell_length_b 6.131
_cell_length_c 6.131
_cell_angle_alpha 93.14
_cell_angle_beta 73.03
_cell_angle_gamma 73.03
loop_
_atom_site_label
_atom_site_type_symbol
_atom_site_fract_x
_atom_site_fract_y
_atom_site_fract_z
_atom_site_occupancy
Pu1 Pu 0.758 0.578 0.905 1
Pu2 Pu 0.758 0.905 0.578 1
Pu3 Pu 0.242 0.422 0.095 1
Pu4 Pu 0.242 0.095 0.422 1
Ga1 Ga 0.000 0.000 0.000 1
Ge1 Ge 0.500 0.500 0.500 1
```